No. 1
A plane-wave DFT calculation with PBE-GGA was carried out for a relaxed structure of YTcAg2.

Structure (CIF):
```
data_YTcAg2
_cell_length_a 4.969
_cell_length_b 2.943
_cell_length_c 5.399
_cell_angle_alpha 77.65
_cell_angle_beta 90.00
_cell_angle_gamma 90.00
_space_group_name_H-M_alt 'P 1'
_space_group_IT_number 1
loop_
_space_group_symop_operation_xyz
'x,y,z'
loop_
_atom_site_label
_atom_site_fract_x
_atom_site_fract_y
_atom_site_fract_z
Ag1 0.000 0.062 0.020
Ag2 0.000 0.438 0.480
Tc1 0.500 0.250 0.250
Y1 0.500 0.750 0.750
```

Calculated values
As for the space group: P2/m, No. 10. As for the formation energy: 0.30 eV per atom.

---

No. 2
A plane-wave DFT calculation with PBE-GGA was carried out for a relaxed structure of YTcAg.

Structure (CIF):
```
data_YTcAg
_cell_length_a 5.536
_cell_length_b 5.536
_cell_length_c 3.507
_cell_angle_alpha 71.53
_cell_angle_beta 71.53
_cell_angle_gamma 36.93
_space_group_name_H-M_alt 'P 1'
_space_group_IT_number 1
loop_
_space_group_symop_operation_xyz
'x,y,z'
loop_
_atom_site_label
_atom_site_fract_x
_atom_site_fract_y
_atom_site_fract_z
Ag1 0.985 0.985 0.015
Tc1 0.341 0.341 0.659
Y1 0.673 0.673 0.327
```

Calculated values
As for the space group: I4mm, No. 107. As for the formation energy: 0.31 eV per atom.

---

No. 3
A plane-wave DFT calculation with PBE-GGA was carried out for a relaxed structure of YTcAg.

Structure (CIF):
```
data_YTcAg
_cell_length_a 4.800
_cell_length_b 4.800
_cell_length_c 3.033
_cell_angle_alpha 90.00
_cell_angle_beta 90.00
_cell_angle_gamma 120.00
_space_group_name_H-M_alt 'P 1'
_space_group_IT_number 1
loop_
_space_group_symop_operation_xyz
'x,y,z'
loop_
_atom_site_label
_atom_site_fract_x
_atom_site_fract_y
_atom_site_fract_z
Ag1 0.000 0.000 0.167
Tc1 0.333 0.667 0.167
Y1 0.667 0.333 0.667
```

Calculated values
As for the space group: P-6m2, No. 187. As for the formation energy: 0.36 eV per atom.

---

No. 4
A plane-wave DFT calculation with PBE-GGA was carried out for a relaxed structure of YZrTcAg.

Structure (CIF):
```
data_YZrTcAg
_cell_length_a 4.863
_cell_length_b 4.863
_cell_length_c 4.863
_cell_angle_alpha 60.00
_cell_angle_beta 60.00
_cell_angle_gamma 60.00
_space_group_name_H-M_alt 'P 1'
_space_group_IT_number 1
loop_
_space_group_symop_operation_xyz
'x,y,z'
loop_
_atom_site_label
_atom_site_fract_x
_atom_site_fract_y
_atom_site_fract_z
Y1 0.750 0.750 0.750
Zr1 0.250 0.250 0.250
Tc1 0.500 0.500 0.500
Ag1 0.000 0.000 0.000
```

Calculated values
As for the space group: F-43m, No. 216. As for the formation energy: -0.12 eV per atom.

---

No. 5
A plane-wave DFT calculation with PBE-GGA was carried out for a relaxed structure of ZnTc2Ag2.

Structure (CIF):
```
data_ZnTc2Ag2
_cell_length_a 6.491
_cell_length_b 6.491
_cell_length_c 4.153
_cell_angle_alpha 90.00
_cell_angle_beta 90.00
_cell_angle_gamma 90.00
_space_group_name_H-M_alt 'P 1'
_space_group_IT_number 1
loop_
_space_group_symop_operation_xyz
'x,y,z'
loop_
_atom_site_label
_atom_site_fract_x
_atom_site_fract_y
_atom_site_fract_z
Zn1 0.000 0.000 0.000
Zn2 0.500 0.500 0.000
Tc1 0.380 0.880 0.000
Tc2 0.880 0.620 0.000
Tc3 0.620 0.120 0.000
Tc4 0.120 0.380 0.000
Ag1 0.181 0.681 0.500
Ag2 0.681 0.819 0.500
Ag3 0.819 0.319 0.500
Ag4 0.319 0.181 0.500
```

Calculated values
As for the space group: P4/mbm, No. 127. As for the formation energy: 0.65 eV per atom.

---

No. 6
A plane-wave DFT calculation with PBE-GGA was carried out for a relaxed structure of ZnTc2Ag.

Structure (CIF):
```
data_ZnTc2Ag
_cell_length_a 7.314
_cell_length_b 7.314
_cell_length_c 5.735
_cell_angle_alpha 50.38
_cell_angle_beta 50.38
_cell_angle_gamma 90.00
_space_group_name_H-M_alt 'P 1'
_space_group_IT_number 1
loop_
_space_group_symop_operation_xyz
'x,y,z'
loop_
_atom_site_label
_atom_site_fract_x
_atom_site_fract_y
_atom_site_fract_z
Zn1 0.500 0.500 0.000
Zn2 0.250 0.750 0.500
Tc1 0.595 0.125 0.250
Tc2 0.155 0.625 0.250
Tc3 0.375 0.405 0.750
Tc4 0.875 0.845 0.750
Ag1 0.000 0.000 0.000
Ag2 0.750 0.250 0.500
```

Calculated values
As for the space group: I-42d, No. 122. As for the formation energy: 0.90 eV per atom.

---

No. 7
A plane-wave DFT calculation with PBE-GGA was carried out for a relaxed structure of ZnTcAg3.

Structure (CIF):
```
data_ZnTcAg3
_cell_length_a 4.754
_cell_length_b 4.754
_cell_length_c 4.754
_cell_angle_alpha 90.00
_cell_angle_beta 90.00
_cell_angle_gamma 90.00
_space_group_name_H-M_alt 'P 1'
_space_group_IT_number 1
loop_
_space_group_symop_operation_xyz
'x,y,z'
loop_
_atom_site_label
_atom_site_fract_x
_atom_site_fract_y
_atom_site_fract_z
Zn1 0.000 0.000 0.000
Tc1 0.500 0.500 0.500
Ag1 0.000 0.500 0.000
Ag2 0.000 0.000 0.500
Ag3 0.500 0.000 0.000
```

Calculated values
As for the space group: Pm-3m, No. 221. As for the formation energy: 1.11 eV per atom.

---

No. 8
A plane-wave DFT calculation with PBE-GGA was carried out for a relaxed structure of ZnTc2Ag.

Structure (CIF):
```
data_ZnTc2Ag
_cell_length_a 5.312
_cell_length_b 5.312
_cell_length_c 5.312
_cell_angle_alpha 145.26
_cell_angle_beta 133.99
_cell_angle_gamma 58.92
_space_group_name_H-M_alt 'P 1'
_space_group_IT_number 1
loop_
_space_group_symop_operation_xyz
'x,y,z'
loop_
_atom_site_label
_atom_site_fract_x
_atom_site_fract_y
_atom_site_fract_z
Ag1 0.750 0.250 0.500
Tc1 0.008 0.008 0.000
Tc2 0.492 0.492 0.000
Zn1 0.250 0.750 0.500
```

Calculated values
As for the space group: Immm, No. 71. As for the formation energy: 0.36 eV per atom.